Record 1
Material: Si5Au
Method: DFT, PBE-GGA
State: optimized geometry

Cell and atoms, written as POSCAR:
```
Si5Au
1.0
-1.6028 4.2833 3.2988
-0.6518 -1.4277 -5.4161
-3.5970 -2.1072 0.9884
Si Au
5 1
direct
0.3181 0.6819 0.5000
0.1636 0.8364 0.0000
0.0000 0.0000 0.5000
0.8364 0.1636 0.0000
0.6819 0.3181 0.5000
0.5000 0.5000 0.0000
```

Output
The calculation puts the relative energy among the computed polymorphs at 215.5 meV per atom. For the size of the total moment, the calculation gives 0.000 μB/f.u. For the calculated volume, the calculation gives 94 Å³/cell. As for the total energy: -27.5 eV for the cell shown. As for the space group: Cmmm. For the uncorrected formation energy, the calculation gives 0.48 eV per atom.

Record 2
Material: K2TaAs
Method: DFT, PBE-GGA
State: optimized geometry

Cell and atoms, written as POSCAR:
```
K2TaAs
1.0
12.1959 -0.0118 -0.0069
11.8015 3.0763 -0.0069
11.8015 1.5071 2.6818
As K Ta
1 2 1
direct
0.7500 0.7500 0.7500
0.0075 0.0075 0.0075
0.4925 0.4925 0.4925
0.2500 0.2500 0.2500
```

Output
For the size of the total moment, the calculation gives 0.511 μB/f.u. For the calculated volume, the calculation gives 101 Å³/cell. As for the total energy: -15.6 eV for the cell shown. As for the space group: R-3m.

Record 3
Material: HgSb2Pb8
Method: DFT, PBE-GGA
State: optimized geometry

Cell and atoms, written as POSCAR:
```
HgSb2Pb8
1.0
5.9930 0.7871 0.6732
1.7883 9.0777 3.2352
1.7883 4.6033 8.4665
Hg Sb Pb
1 2 8
direct
0.0000 0.0000 0.0000
0.5499 0.1695 0.1695
0.4501 0.8305 0.8305
0.7281 0.1742 0.6588
0.2719 0.3412 0.8258
0.9594 0.2440 0.2440
0.0406 0.7560 0.7560
0.7281 0.6588 0.1742
0.2719 0.8258 0.3412
0.3143 0.3563 0.3563
0.6857 0.6437 0.6437
```

Output
The calculation puts the relative energy among the computed polymorphs at 0.0 meV per atom. For the size of the total moment, the calculation gives 0.000 μB/f.u. For the calculated volume, the calculation gives 359 Å³/cell. As for the total energy: -37.3 eV for the cell shown. As for the space group: C2/m. For the uncorrected formation energy, the calculation gives 0.08 eV per atom.

Record 4
Material: HoNi4Ge4
Method: DFT, PBE-GGA
State: optimized geometry

Cell and atoms, written as POSCAR:
```
HoNi4Ge4
1.0
-3.9939 0.2299 2.2513
0.7284 -7.7074 2.0793
3.8841 2.1663 6.6693
Ho Ni Ge
2 8 8
direct
0.0000 0.0000 0.0000
0.5000 0.5000 0.5000
0.5001 0.8296 0.3147
0.5001 0.1704 0.6853
0.0001 0.8147 0.6704
0.9999 0.3296 0.8147
0.9999 0.6704 0.1853
0.4999 0.3147 0.1704
0.4999 0.6853 0.8296
0.0001 0.1853 0.3296
0.4999 0.3803 0.8789
0.9999 0.6211 0.8803
0.4999 0.6197 0.1211
0.0001 0.1197 0.6211
0.5001 0.8789 0.6197
0.0001 0.8803 0.3789
0.9999 0.3789 0.1197
0.5001 0.1211 0.3803
```

Output
For the size of the total moment, the calculation gives 0.000 μB/f.u. For the calculated volume, the calculation gives 295 Å³/cell. As for the total energy: -97.4 eV for the cell shown. As for the space group: I4/m.

Record 5
Material: Be2VI
Method: DFT, PBE-GGA
State: optimized geometry

Cell and atoms, written as POSCAR:
```
Be2VI
1.0
0.0000 3.1447 3.1447
3.1447 0.0000 3.1447
3.1447 3.1447 0.0000
I Be V
1 2 1
direct
0.5000 0.5000 0.5000
0.2500 0.2500 0.2500
0.7500 0.7500 0.7500
0.0000 0.0000 0.0000
```

Output
The calculation puts the relative energy among the computed polymorphs at 168.1 meV per atom. For the size of the total moment, the calculation gives 3.158 μB/f.u. For the calculated volume, the calculation gives 62 Å³/cell. As for the total energy: -13.2 eV for the cell shown. As for the space group: Fm-3m. For the uncorrected formation energy, the calculation gives 1.22 eV per atom.

Record 6
Material: Ac3Tb12Pr
Method: DFT, PBE-GGA
State: optimized geometry

Cell and atoms, written as POSCAR:
```
Ac3Tb12Pr
1.0
5.1613 0.0000 0.0000
0.0000 5.1613 0.0000
0.0000 0.0000 20.6324
Ac Tb Pr
3 12 1
direct
0.0000 0.0000 0.2484
0.0000 0.0000 0.5000
0.0000 0.0000 0.7516
0.5000 0.5000 0.0000
0.5000 0.5000 0.2475
0.5000 0.5000 0.5000
0.5000 0.5000 0.7525
0.5000 0.0000 0.1212
0.5000 0.0000 0.3739
0.5000 0.0000 0.6261
0.5000 0.0000 0.8788
0.0000 0.5000 0.1212
0.0000 0.5000 0.3739
0.0000 0.5000 0.6261
0.0000 0.5000 0.8788
0.0000 0.0000 0.0000
```

Output
For the size of the total moment, the calculation gives 0.000 μB/f.u. For the calculated volume, the calculation gives 550 Å³/cell. As for the total energy: -72.0 eV for the cell shown. As for the space group: P4/mmm.

Record 7
Material: DyAg2Sn3Te6
Method: DFT, PBE-GGA
State: optimized geometry

Cell and atoms, written as POSCAR:
```
DyAg2Sn3Te6
1.0
-2.8013 -4.3491 -5.5777
-1.3545 -1.7831 7.2703
-4.6304 6.0947 -0.6958
Dy Ag Sn Te
1 2 3 6
direct
0.0000 0.0000 0.0000
0.3284 0.6716 0.0000
0.6716 0.3284 0.0000
0.1590 0.8410 0.5000
0.8410 0.1590 0.5000
0.5000 0.5000 0.5000
0.9198 0.5855 0.7615
0.7430 0.7430 0.2385
0.0802 0.4145 0.2385
0.5855 0.9198 0.7615
0.2570 0.2570 0.7615
0.4145 0.0802 0.2385
```

Output
For the size of the total moment, the calculation gives 0.000 μB/f.u. For the calculated volume, the calculation gives 363 Å³/cell. As for the total energy: -46.1 eV for the cell shown. As for the space group: C2/m. For the uncorrected formation energy, the calculation gives -0.41 eV per atom.

Record 8
Material: K2ZnSb2
Method: DFT, PBE-GGA
State: optimized geometry

Cell and atoms, written as POSCAR:
```
K2ZnSb2
1.0
7.0980 0.0000 0.0000
0.0000 7.0980 0.0000
3.5490 3.5490 4.0579
Sb Zn K
2 1 2
direct
0.3191 0.3191 0.3617
0.6809 0.6809 0.6383
0.0000 0.0000 0.0000
0.7500 0.2500 0.5000
0.2500 0.7500 0.5000
```

Output
The calculation puts the relative energy among the computed polymorphs at 269.0 meV per atom. For the size of the total moment, the calculation gives 0.000 μB/f.u. For the calculated volume, the calculation gives 204 Å³/cell. As for the total energy: -12.0 eV for the cell shown. As for the space group: I4/mmm. For the uncorrected formation energy, the calculation gives -0.05 eV per atom.